## SeI (PBE)

Data for a geometry-optimized SeI structure.

Cell: 8.0821 8.0821 8.0821 Å, 109.47 109.47 109.47°
Closest atoms and distances in Å follow each position.
Fractional coordinates of all 8 atoms:
Se  0.0000  0.0000  0.7763  1 I 2.56
Se  0.0000  0.7763  0.0000  1 I 2.56
Se  0.2237  0.2237  0.2237  1 I 2.56
Se  0.7763  0.0000  0.0000  1 I 2.56
I  0.0000  0.0000  0.4594  1 Se 2.56
I  0.0000  0.4594  0.0000  1 Se 2.56
I  0.4594  0.0000  0.0000  1 Se 2.56
I  0.5406  0.5406  0.5406  1 Se 2.56

Output
**Raw total energy**: -2.22 eV/atom
**SG**: I-43m, No. 217
**N(E_F)**: 7.4 states/eV per cell
**Size of the total moment**: 0.0 μB per formula unit



## NiHOs3 (PBE)

Data for a geometry-optimized NiHOs3 structure.

Cell: 3.8573 3.8573 3.8573 Å, 90.00 90.00 90.00°
Closest atoms and distances in Å follow each position.
Fractional coordinates of all 5 atoms:
Ni  0.0000  0.0000  0.0000  12 Os 2.73
H  0.5000  0.5000  0.5000  6 Os 1.93
Os  0.0000  0.5000  0.5000  2 H 1.93
Os  0.5000  0.0000  0.5000  2 H 1.93
Os  0.5000  0.5000  0.0000  2 H 1.93

Output
**Raw total energy**: -8.14 eV/atom
**SG**: Pm-3m, No. 221
**N(E_F)**: 4.6 states/eV per cell
**Size of the total moment**: 0.0 μB per formula unit



## BaLa2Ti2 (PBE)

Data for a geometry-optimized BaLa2Ti2 structure.

Cell: 9.4473 9.4473 3.4646 Å, 90.00 90.00 90.00°
Closest atoms and distances in Å follow each position.
Fractional coordinates of all 10 atoms:
Ba  0.0000  0.0000  0.0000  2 Ba 3.46, 4 Ti 3.88, 8 La 3.88
Ba  0.5000  0.5000  0.0000  2 Ba 3.46, 4 Ti 3.88, 8 La 3.88
La  0.1800  0.3200  0.5000  6 Ti 3.27-3.38, 2 La 3.46
La  0.3200  0.8200  0.5000  6 Ti 3.27-3.38, 2 La 3.46
La  0.6800  0.1800  0.5000  6 Ti 3.27-3.38, 2 La 3.46
La  0.8200  0.6800  0.5000  6 Ti 3.27-3.38, 2 La 3.46
Ti  0.1029  0.6029  0.0000  1 Ti 2.75
Ti  0.3971  0.1029  0.0000  1 Ti 2.75
Ti  0.6029  0.8971  0.0000  1 Ti 2.75
Ti  0.8971  0.3971  0.0000  1 Ti 2.75

Output
**Raw total energy**: -5.08 eV/atom
**SG**: P4/mbm, No. 127
**N(E_F)**: 13.5 states/eV per cell
**Formation enthalpy at 0 K**: 0.430 eV/atom
**Size of the total moment**: 0.0 μB per formula unit